Y3Tl2Hg after structural relaxation. Source: the Alexandria database, functional PBE.

Values from the calculation:
- D(E_F) (states/eV/atom) = 1.04
- total DFT energy (no corrections) (eV per cell) = -26.97

Cell lengths 3.7454, 3.7454, 11.5496 Å; angles 90.00, 90.00, 90.00 degrees
With the nearest neighbours (Å) after each atom.
Space group P4/mmm (No. 123)
Inequivalent atoms, fractional coordinates:
Y: 0.0000 0.0000 0.0000 (multiplicity 1)  8 Tl 3.31
Y: 0.0000 0.0000 0.3424 (multiplicity 2)  4 Hg 3.21, 4 Tl 3.30
Tl: 0.5000 0.5000 0.1722 (multiplicity 2)  8 Y 3.30-3.31
Hg: 0.5000 0.5000 0.5000 (multiplicity 1)  8 Y 3.21



PaGe4Rh2 after structural relaxation. Source: the Alexandria database, functional PBE.

Values from the calculation:
- D(E_F) (states/eV/atom) = 0.56
- total DFT energy (no corrections) (eV per cell) = -185.67

Cell lengths 17.4202, 4.2567, 6.6539 Å; angles 90.00, 90.00, 90.00 degrees
With the nearest neighbours (Å) after each atom.
Space group Pnma (No. 62)
Inequivalent atoms, fractional coordinates:
Pa: 0.1387 0.2500 0.0156 (multiplicity 4)  9 Ge 2.96-3.28, 2 Rh 3.24
Ge: 0.0374 0.7500 0.8579 (multiplicity 4)  3 Rh 2.50-2.56
Ge: 0.0645 0.2500 0.4693 (multiplicity 4)  4 Rh 2.51-2.69
Ge: 0.1815 0.7500 0.3125 (multiplicity 4)  4 Rh 2.61-2.71, 1 Ge 2.81
Ge: 0.1938 0.7500 0.7335 (multiplicity 4)  3 Rh 2.55-2.59, 2 Ge 2.81-2.85
Rh: 0.0281 0.7500 0.2422 (multiplicity 4)  7 Ge 2.50-2.71
Rh: 0.2084 0.2500 0.5272 (multiplicity 4)  7 Ge 2.53-2.70